Entry from Alexandria: YB3Ir6 after structural relaxation (PBE).

The crystal system is trigonal. The calculation puts the final energy at -248.649 eV for the cell shown. As for the formation energy from the elements: -322 meV per atom. For the total magnetization, the calculation gives 0.00 μB per formula unit.

The space group is R3 (No. 146, hexagonal axes) and the conventional cell measures 5.4820, 5.4820 and 15.7705 Å, with angles of 90.00, 90.00 and 120.00 degrees. The asymmetric unit holds Y at (0.0000, 0.0000, 0.0000), B at (0.0000, 0.0000, 0.1676), B at (0.0000, 0.0000, 0.3653), B at (0.0000, 0.0000, 0.6988), Ir at (0.0015, 0.4353, 0.1216) and Ir at (0.1656, 0.3343, 0.2690).